Here is a geometry-optimized Li2NiBiF8 structure from Alexandria via LeMat-Bulk. Energies are from PBE with a Hubbard U.

The structure in extended XYZ format:
```
12
Lattice="4.791 0.000 0.000 0.225 4.799 0.000 0.212 0.207 6.698" Properties=species:S:1:pos:R:3 pbc="T T T"
Li 0.174 0.167 1.656
Li 5.054 4.839 5.043
Ni 2.508 2.399 0.000
Bi 2.614 2.503 3.349
F 1.003 0.961 3.362
F 1.173 1.120 0.104
F 1.744 3.519 5.243
F 1.638 3.417 1.455
F 3.590 1.589 5.244
F 3.484 1.486 1.456
F 4.055 3.886 6.594
F 4.225 4.044 3.337
```

Output
Total energy (eV for the cell shown): -53.2
Space group: No. 2